Entry 1:
## LiTaIn (GGA-PBE)

Data for crystalline LiTaIn at its relaxed geometry.

```
data_LiTaIn
_chemical_formula_sum 'Li1 Ta1 In1'
_symmetry_space_group_name_H-M 'P 1'
_symmetry_Int_Tables_number 1
_cell_length_a 4.291
_cell_length_b 4.291
_cell_length_c 4.291
_cell_angle_alpha 60.00
_cell_angle_beta 60.00
_cell_angle_gamma 60.00
loop_
_symmetry_equiv_pos_as_xyz
'x,y,z'
loop_
_atom_site_label
_atom_site_type_symbol
_atom_site_fract_x
_atom_site_fract_y
_atom_site_fract_z
Li1 Li 0.750 0.750 0.750
In1 In 0.500 0.500 0.500
Ta1 Ta 0.000 0.000 0.000
```

Total magnetization ... 0.00 Bohr magnetons per cell
Formation enthalpy at 0 K ... 0.7946 eV/atom
Space-group type ... No. 216
Energy above the lowest structure with this stoichiometry ... 590.5 meV/atom

---

Entry 2:
## Pm3SmSc2 (GGA-PBE)

Data for crystalline Pm3SmSc2 at its relaxed geometry.

```
data_Pm3SmSc2
_chemical_formula_sum 'Pm6 Sm2 Sc4'
_symmetry_space_group_name_H-M 'P 1'
_symmetry_Int_Tables_number 1
_cell_length_a 3.415
_cell_length_b 9.600
_cell_length_c 12.943
_cell_angle_alpha 117.54
_cell_angle_beta 90.00
_cell_angle_gamma 90.00
loop_
_symmetry_equiv_pos_as_xyz
'x,y,z'
loop_
_atom_site_label
_atom_site_type_symbol
_atom_site_fract_x
_atom_site_fract_y
_atom_site_fract_z
Pm1 Pm 0.250 0.321 0.121
Pm2 Pm 0.750 0.689 0.608
Pm3 Pm 0.750 0.008 0.142
Pm4 Pm 0.250 0.992 0.858
Pm5 Pm 0.750 0.679 0.879
Pm6 Pm 0.250 0.311 0.392
Sm1 Sm 0.250 0.676 0.359
Sm2 Sm 0.750 0.324 0.641
Sc1 Sc 0.750 0.635 0.118
Sc2 Sc 0.750 0.990 0.390
Sc3 Sc 0.250 0.010 0.610
Sc4 Sc 0.250 0.365 0.882
```

Total magnetization ... 0.00 Bohr magnetons per cell
Formation enthalpy at 0 K ... 0.1744 eV/atom
Space-group type ... No. 11
Energy above the lowest structure with this stoichiometry ... 0.0 meV/atom

---

Entry 3:
## LaGaHgBi (GGA-PBE)

Data for crystalline LaGaHgBi at its relaxed geometry.

```
data_LaGaHgBi
_chemical_formula_sum 'La1 Ga1 Hg1 Bi1'
_symmetry_space_group_name_H-M 'P 1'
_symmetry_Int_Tables_number 1
_cell_length_a 5.380
_cell_length_b 5.380
_cell_length_c 5.380
_cell_angle_alpha 60.00
_cell_angle_beta 60.00
_cell_angle_gamma 60.00
loop_
_symmetry_equiv_pos_as_xyz
'x,y,z'
loop_
_atom_site_label
_atom_site_type_symbol
_atom_site_fract_x
_atom_site_fract_y
_atom_site_fract_z
Hg1 Hg 0.750 0.750 0.750
Ga1 Ga 0.250 0.250 0.250
La1 La 0.000 0.000 0.000
Bi1 Bi 0.500 0.500 0.500
```

Total magnetization ... 0.00 Bohr magnetons per cell
Formation enthalpy at 0 K ... -0.3706 eV/atom
Space-group type ... No. 216

---

Entry 4:
## LaHf3 (GGA-PBE)

Data for crystalline LaHf3 at its relaxed geometry.

```
data_LaHf3
_chemical_formula_sum 'La1 Hf3'
_symmetry_space_group_name_H-M 'P 1'
_symmetry_Int_Tables_number 1
_cell_length_a 3.224
_cell_length_b 5.266
_cell_length_c 5.957
_cell_angle_alpha 90.00
_cell_angle_beta 90.00
_cell_angle_gamma 90.00
loop_
_symmetry_equiv_pos_as_xyz
'x,y,z'
loop_
_atom_site_label
_atom_site_type_symbol
_atom_site_fract_x
_atom_site_fract_y
_atom_site_fract_z
La1 La 0.000 0.500 0.318
Hf1 Hf 0.500 0.500 0.818
Hf2 Hf 0.500 0.000 0.546
Hf3 Hf 0.000 0.000 0.985
```

Total magnetization ... 0.00 Bohr magnetons per cell
Formation enthalpy at 0 K ... 0.2077 eV/atom
Space-group type ... No. 25

---

Entry 5:
## Sm2DyY4 (GGA-PBE)

Data for crystalline Sm2DyY4 at its relaxed geometry.

```
data_Sm2DyY4
_chemical_formula_sum 'Sm4 Dy2 Y8'
_symmetry_space_group_name_H-M 'P 1'
_symmetry_Int_Tables_number 1
_cell_length_a 6.073
_cell_length_b 6.671
_cell_length_c 11.738
_cell_angle_alpha 90.00
_cell_angle_beta 105.09
_cell_angle_gamma 90.00
loop_
_symmetry_equiv_pos_as_xyz
'x,y,z'
loop_
_atom_site_label
_atom_site_type_symbol
_atom_site_fract_x
_atom_site_fract_y
_atom_site_fract_z
Y1 Y 0.370 0.505 0.711
Y2 Y 0.021 0.250 0.162
Y3 Y 0.370 0.995 0.711
Y4 Y 0.145 0.750 0.422
Y5 Y 0.630 0.005 0.289
Y6 Y 0.855 0.250 0.578
Y7 Y 0.979 0.750 0.838
Y8 Y 0.630 0.495 0.289
Dy1 Dy 0.165 0.750 0.138
Dy2 Dy 0.835 0.250 0.862
Sm1 Sm 0.608 0.750 0.011
Sm2 Sm 0.287 0.250 0.447
Sm3 Sm 0.713 0.750 0.553
Sm4 Sm 0.392 0.250 0.989
```

Total magnetization ... 0.00 Bohr magnetons per cell
Formation enthalpy at 0 K ... 0.1312 eV/atom
Space-group type ... No. 11
Energy above the lowest structure with this stoichiometry ... 91.6 meV/atom

---

Entry 6:
## CaMnCl6 (GGA-PBE)

Data for crystalline CaMnCl6 at its relaxed geometry.

```
data_CaMnCl6
_chemical_formula_sum 'Ca1 Mn1 Cl6'
_symmetry_space_group_name_H-M 'P 1'
_symmetry_Int_Tables_number 1
_cell_length_a 6.338
_cell_length_b 6.337
_cell_length_c 6.812
_cell_angle_alpha 62.28
_cell_angle_beta 62.28
_cell_angle_gamma 60.01
loop_
_symmetry_equiv_pos_as_xyz
'x,y,z'
loop_
_atom_site_label
_atom_site_type_symbol
_atom_site_fract_x
_atom_site_fract_y
_atom_site_fract_z
Cl1 Cl 0.789 0.058 0.772
Cl2 Cl 0.619 0.211 0.228
Cl3 Cl 0.211 0.942 0.228
Cl4 Cl 0.058 0.381 0.772
Cl5 Cl 0.942 0.619 0.228
Cl6 Cl 0.381 0.789 0.772
Ca1 Ca 0.500 0.500 0.500
Mn1 Mn 0.000 0.000 0.000
```

Total magnetization ... 2.89 Bohr magnetons per cell
Space-group type ... No. 148
Energy above the lowest structure with this stoichiometry ... 9.1 meV/atom
Raw formation energy ... -1.34 eV/atom